P.
# BiBr2F, relaxed, DFT PBE
# density = 5.3 g/cm3
data_BiBr2F
_cell_length_a 4.0648
_cell_length_b 4.0648
_cell_length_c 25.2883
_cell_angle_alpha 90.00
_cell_angle_beta 90.00
_cell_angle_gamma 120.00
_space_group_name_H-M_alt 'R -3 m'
_space_group_IT_number 166
_space_group_name_Hall '-R 3 2"'
loop_
_atom_site_label
_atom_site_fract_x
_atom_site_fract_y
_atom_site_fract_z
_atom_site_occupancy
Bi1 0.0000 0.0000 0.0000 1
Br1 0.0000 0.0000 0.4078 1
F1 0.0000 0.0000 0.5000 1

Q.
# BiBr2F, relaxed, DFT PBE
# density = 5.0 g/cm3
data_BiBr2F
_cell_length_a 10.586
_cell_length_b 10.586
_cell_length_c 4.566
_cell_angle_alpha 90.00
_cell_angle_beta 90.00
_cell_angle_gamma 90.00
_space_group_name_H-M_alt 'I -4 2 d'
_space_group_IT_number 122
_space_group_name_Hall 'I -4 2bw'
loop_
_atom_site_label
_atom_site_fract_x
_atom_site_fract_y
_atom_site_fract_z
_atom_site_occupancy
Bi1 0.000 0.000 0.000 1
Br1 0.096 0.250 0.125 1
F1 0.000 0.000 0.500 1

Least stable of them? P.

P.
# BiBrF2, relaxed, DFT PBE
# density = 6.2 g/cm3
data_BiBrF2
_cell_length_a 4.785
_cell_length_b 4.785
_cell_length_c 15.189
_cell_angle_alpha 90.00
_cell_angle_beta 90.00
_cell_angle_gamma 90.00
_space_group_name_H-M_alt 'I -4 2 d'
_space_group_IT_number 122
_space_group_name_Hall 'I -4 2bw'
loop_
_atom_site_label
_atom_site_fract_x
_atom_site_fract_y
_atom_site_fract_z
_atom_site_occupancy
Bi1 0.000 0.000 0.000 1
Br1 0.000 0.000 0.500 1
F1 0.070 0.250 0.125 1

Q.
# BiBrF2, relaxed, DFT PBE
# density = 6.6 g/cm3
data_BiBrF2
_cell_length_a 3.847
_cell_length_b 11.883
_cell_length_c 7.251
_cell_angle_alpha 90.00
_cell_angle_beta 90.00
_cell_angle_gamma 90.00
_space_group_name_H-M_alt 'C m c m'
_space_group_IT_number 63
_space_group_name_Hall '-C 2c 2'
loop_
_atom_site_label
_atom_site_fract_x
_atom_site_fract_y
_atom_site_fract_z
_atom_site_occupancy
Bi1 0.000 0.239 0.250 1
Br1 0.000 0.439 0.750 1
F1 0.000 0.186 0.568 1

Least stable of them? P.

P.
# BiBrF2, relaxed, DFT PBE
# density = 8.3 g/cm3
data_BiBrF2
_cell_length_a 6.390
_cell_length_b 6.390
_cell_length_c 6.390
_cell_angle_alpha 90.00
_cell_angle_beta 90.00
_cell_angle_gamma 90.00
_space_group_name_H-M_alt 'F m -3 m'
_space_group_IT_number 225
_space_group_name_Hall '-F 4 2 3'
loop_
_atom_site_label
_atom_site_fract_x
_atom_site_fract_y
_atom_site_fract_z
_atom_site_occupancy
Bi1 0.000 0.000 0.000 1
Br1 0.000 0.000 0.500 1
F1 0.250 0.250 0.250 1

Q.
# BiBrF2, relaxed, DFT PBE
# density = 5.4 g/cm3
data_BiBrF2
_cell_length_a 3.3409
_cell_length_b 3.3409
_cell_length_c 31.2940
_cell_angle_alpha 90.00
_cell_angle_beta 90.00
_cell_angle_gamma 120.00
_space_group_name_H-M_alt 'R -3 m'
_space_group_IT_number 166
_space_group_name_Hall '-R 3 2"'
loop_
_atom_site_label
_atom_site_fract_x
_atom_site_fract_y
_atom_site_fract_z
_atom_site_occupancy
Bi1 0.0000 0.0000 0.0000 1
Br1 0.0000 0.0000 0.5000 1
F1 0.0000 0.0000 0.3836 1

Least stable of them? Q.